Material: NdHfNbN3
Method: DFT, PBE
State: relaxed

It has space group P2_1/m (No. 11), with a = 5.7066 Å, b = 3.3060 Å, c = 8.5279 Å, α = 90.00°, β = 102.89° and γ = 90.00°. The inequivalent atoms are Nd at (0.1465, 0.2500, 0.1915), Hf at (0.2669, 0.7500, 0.5481), Nb at (0.3768, 0.2500, 0.8652), N at (0.0619, 0.2500, 0.6508), N at (0.2540, 0.7500, 0.9889) and N at (0.4652, 0.7500, 0.3515).

Its formation energy (no corrections) is -1.43 eV/atom. The total magnetization is 0.000 μB per atom. The calculation puts the mass density at 9.7 g cm⁻³. As for the calculated volume: 157 Å³/cell. The value obtained for the density of states at the Fermi level is 1.96 states/eV/f.u.